# MnZnPbCl6

A geometry-optimized MnZnPbCl6 structure (PBE-GGA, the Alexandria database).

Theoretical density, g/cm3: 3.9
Formation energy from raw total energies, eV per atom: -1.09
Fermi-level density of states, states/eV/cell: 0.0

Lattice parameters (Å, degrees): 6.520 6.520 12.554 90.00 90.00 120.00
Sites, in units of the cell vectors:
Mn (0.333, 0.667, 0.250)
Mn (0.667, 0.333, 0.750)
Zn (0.333, 0.667, 0.750)
Zn (0.667, 0.333, 0.250)
Pb (0.000, 0.000, 0.000)
Pb (0.000, 0.000, 0.500)
Cl (0.005, 0.367, 0.638)
Cl (0.005, 0.638, 0.862)
Cl (0.362, 0.367, 0.862)
Cl (0.362, 0.995, 0.638)
Cl (0.367, 0.005, 0.138)
Cl (0.367, 0.362, 0.362)
Cl (0.633, 0.638, 0.638)
Cl (0.633, 0.995, 0.862)
Cl (0.638, 0.005, 0.362)
Cl (0.638, 0.633, 0.138)
Cl (0.995, 0.362, 0.138)
Cl (0.995, 0.633, 0.362)